Entry 1:
PBE TcNiOs2, relaxed; theoretical density = 16.1 g cm⁻³; Fermi-level density of states = 5.3 states/eV per cell; E_form = 1.645 eV per formula unit; offset from the most stable computed form = 316 meV per atom
1.0
0.000 3.026 3.026
3.026 0.000 3.026
3.026 3.026 0.000
Tc Ni Os
1 1 2
Cartesian
0.000 0.000 0.000
3.026 3.026 3.026
1.513 1.513 1.513
4.539 4.539 4.539



Entry 2:
PBE TcNiOs3, relaxed; theoretical density = 14.7 g cm⁻³; Fermi-level density of states = 7.0 states/eV per cell; E_form = 9.695 eV per formula unit; offset from the most stable computed form = 0 meV per atom
1.0
4.344 0.000 0.000
0.000 4.344 0.000
0.000 0.000 4.344
Tc Ni Os
1 1 3
Cartesian
0.000 0.000 0.000
2.172 2.172 2.172
0.000 2.172 2.172
2.172 0.000 2.172
2.172 2.172 0.000



Entry 3:
PBE TcNiOs2, relaxed; theoretical density = 15.9 g cm⁻³; Fermi-level density of states = 6.8 states/eV per cell; E_form = 1.835 eV per formula unit; offset from the most stable computed form = 363 meV per atom
1.0
1.388 -2.260 0.000
1.388 2.260 0.000
0.000 0.000 8.957
Tc Ni Os
1 1 2
Cartesian
0.000 0.000 0.000
0.000 0.000 4.479
1.388 0.000 2.299
1.388 0.000 6.659



Entry 4:
PBE Tc4NiOs, relaxed; theoretical density = 11.9 g cm⁻³; Fermi-level density of states = 5.1 states/eV per cell; E_form = 2.875 eV per formula unit
1.0
0.000 3.551 3.551
3.551 0.000 3.551
3.551 3.551 0.000
Tc Ni Os
4 1 1
Cartesian
0.879 0.879 0.879
2.671 2.671 0.879
2.671 0.879 2.671
0.879 2.671 2.671
5.326 5.326 5.326
3.551 3.551 3.551



Entry 5:
PBE TcNi4Os, relaxed; theoretical density = 12.0 g cm⁻³; Fermi-level density of states = 15.1 states/eV per cell; E_form = 0.339 eV per formula unit; offset from the most stable computed form = 0 meV per atom
1.0
5.426 -1.843 0.000
5.426 1.843 0.000
-3.480 0.000 7.239
Tc Ni Os
2 8 2
Cartesian
2.816 0.928 5.429
4.556 -0.928 1.810
2.751 0.912 1.802
4.511 0.924 0.009
4.600 0.924 3.610
6.360 0.912 1.818
1.011 -0.912 5.421
2.771 -0.924 3.629
2.860 -0.924 7.230
4.620 -0.912 5.437
0.973 0.922 3.619
2.713 -0.922 0.000



Entry 6:
PBE TcNiOs3, relaxed; theoretical density = 12.1 g cm⁻³; Fermi-level density of states = 8.5 states/eV per cell; E_form = 12.283 eV per formula unit; offset from the most stable computed form = 518 meV per atom
1.0
4.638 0.000 0.000
0.000 4.638 0.000
0.000 0.000 4.638
Tc Ni Os
1 1 3
Cartesian
0.000 0.000 0.000
2.319 2.319 2.319
0.000 0.000 2.319
0.000 2.319 0.000
2.319 0.000 0.000



Entry 7:
PBE TcNiOs2, relaxed; theoretical density = 16.3 g cm⁻³; Fermi-level density of states = 3.6 states/eV per cell; E_form = 0.432 eV per formula unit; offset from the most stable computed form = 13 meV per atom
1.0
4.432 -1.347 0.000
4.432 1.347 0.000
-0.786 0.000 4.596
Tc Ni Os
1 1 2
Cartesian
0.000 0.000 0.000
4.039 0.000 2.298
1.655 0.000 3.421
6.422 0.000 1.175



Entry 8:
PBE TcNi4Os, relaxed; theoretical density = 12.2 g cm⁻³; Fermi-level density of states = 6.0 states/eV per cell; E_form = 0.631 eV per formula unit; offset from the most stable computed form = 49 meV per atom
1.0
0.000 3.288 3.288
3.288 0.000 3.288
3.288 3.288 0.000
Tc Ni Os
1 4 1
Cartesian
0.000 0.000 0.000
2.467 2.467 2.467
4.110 4.110 2.467
4.110 2.467 4.110
2.467 4.110 4.110
4.932 4.932 4.932



Entry 9:
PBE TcNiOs2, relaxed; theoretical density = 15.8 g cm⁻³; Fermi-level density of states = 7.3 states/eV per cell; E_form = 2.004 eV per formula unit; offset from the most stable computed form = 406 meV per atom
1.0
1.387 -2.256 0.000
1.387 2.256 0.000
0.000 0.000 9.001
Tc Ni Os
1 1 2
Cartesian
0.000 0.000 0.000
1.387 0.000 2.182
0.000 0.000 4.366
1.387 0.000 6.709



Entry 10:
PBE TcNiOs2, relaxed; theoretical density = 16.0 g cm⁻³; Fermi-level density of states = 5.8 states/eV per cell; E_form = 1.709 eV per formula unit; offset from the most stable computed form = 332 meV per atom
1.0
2.766 0.000 0.000
0.000 4.474 0.000
0.000 0.000 4.512
Tc Ni Os
1 1 2
Cartesian
0.000 0.000 0.000
1.383 0.000 2.256
0.000 2.237 2.256
1.383 2.237 0.000



Copy entry 3 word for word.
PBE TcNiOs2, relaxed; theoretical density = 15.9 g cm⁻³; Fermi-level density of states = 6.8 states/eV per cell; E_form = 1.835 eV per formula unit; offset from the most stable computed form = 363 meV per atom
1.0
1.388 -2.260 0.000
1.388 2.260 0.000
0.000 0.000 8.957
Tc Ni Os
1 1 2
Cartesian
0.000 0.000 0.000
0.000 0.000 4.479
1.388 0.000 2.299
1.388 0.000 6.659



- What is the Fermi-level density of states in the third record?
  6.8 states/eV per cell



- Which value of E_form does entry 5 give?
  0.339 eV per formula unit



- What is the E_form in the third record?
  1.835 eV per formula unit